P.
! BaLaNbCrO6, optimized geometry, DFT PBE+U; values from VASP
&SYSTEM
  ibrav = 0, nat = 10, ntyp = 5
/
ATOMIC_SPECIES
La 138.91 La.upf
O 16.00 O.upf
Cr 52.00 Cr.upf
Ba 137.33 Ba.upf
Nb 92.91 Nb.upf
CELL_PARAMETERS angstrom
0.000 4.208 4.208
4.208 0.000 4.208
4.208 4.208 0.000
ATOMIC_POSITIONS crystal
La 0.500 0.500 0.500
O 0.227 0.773 0.773
O 0.773 0.773 0.227
Cr 0.000 0.000 0.000
O 0.773 0.227 0.773
Ba 0.750 0.750 0.750
O 0.227 0.773 0.227
O 0.227 0.227 0.773
Nb 0.250 0.250 0.250
O 0.773 0.227 0.227
! * magnetic moment: 4.00 μB per cell



Q.
! BaLaNbCrO6, optimized geometry, DFT PBE+U; values from VASP
&SYSTEM
  ibrav = 0, nat = 10, ntyp = 5
/
ATOMIC_SPECIES
O 16.00 O.upf
Ba 137.33 Ba.upf
La 138.91 La.upf
Nb 92.91 Nb.upf
Cr 52.00 Cr.upf
CELL_PARAMETERS angstrom
2.095 -0.364 5.315
-0.156 4.560 3.457
-3.553 0.070 4.488
ATOMIC_POSITIONS crystal
O 0.752 0.248 0.248
Ba 0.250 0.250 0.250
La 0.750 0.750 0.750
O 0.752 0.752 0.248
O 0.752 0.248 0.752
Nb 0.500 0.500 0.500
O 0.248 0.752 0.248
Cr 0.000 0.000 0.000
O 0.248 0.248 0.752
O 0.248 0.752 0.752
! * magnetic moment: 1.99 μB per cell



Consider the structures shown above. The most stable of them is Q.